(1)
{
  "formula": "MnAg3Ru",
  "functional": "PBE",
  "state": "optimized geometry",
  "lattice": [[-3.7883, 2.8894, 0.4437], [-2.5548, -3.6254, 1.7962], [1.4208, 1.1851, 4.4129]],
  "species": ["Mn", "Ru", "Ag", "Ag", "Ag"],
  "frac_coords": [[0.0000, 0.0000, 0.0000], [0.5000, 0.5000, 0.5000], [0.0000, 0.5000, 0.0000], [0.0000, 0.0000, 0.5000], [0.5000, 0.0000, 0.0000]],
  "spacegroup": "No. 221",
  "total_magnetization_mub_per_atom": 1.2889,
  "n_ef_per_ev_cell": 3.51,
  "total_energy_ev_per_atom": -3.9241,
  "ef_ev_per_atom": 1.476
}

***

(2)
{
  "formula": "HfZrIn2Te",
  "functional": "PBE",
  "state": "optimized geometry",
  "lattice": [[-4.6637, -4.0686, 1.3011], [3.0887, -1.8813, 5.1882], [-2.6106, 3.9471, 2.9855]],
  "species": ["In", "In", "Te", "Zr", "Hf"],
  "frac_coords": [[0.0000, 0.5000, 0.0000], [0.5000, 0.0000, 0.0000], [0.0000, 0.0000, 0.0000], [0.0000, 0.0000, 0.5000], [0.5000, 0.5000, 0.5000]],
  "spacegroup": "No. 123",
  "raw_formation_energy_kj_per_mol_fu": 652,
  "total_magnetization_mub_per_atom": 0.4263,
  "n_ef_per_ev_cell": 5.83,
  "total_energy_ev_per_atom": -4.0734
}

***

(3)
{
  "formula": "Ca2HfUP4",
  "functional": "PBE",
  "state": "optimized geometry",
  "lattice": [[3.9290, 0.0000, 0.0000], [0.0000, 6.7739, 0.1237], [0.0000, -2.3619, 6.5752]],
  "species": ["U", "P", "P", "P", "P", "Ca", "Ca", "Hf"],
  "frac_coords": [[0.5000, 0.5000, 0.0000], [0.5000, 0.2357, 0.2223], [0.0000, 0.7496, 0.2257], [0.5000, 0.7643, 0.7777], [0.0000, 0.2504, 0.7743], [0.5000, 0.0000, 0.5000], [0.0000, 0.5000, 0.5000], [0.0000, 0.0000, 0.0000]],
  "spacegroup": "No. 10",
  "total_magnetization_mub_per_atom": 0.2201,
  "n_ef_per_ev_cell": 6.75,
  "total_energy_ev_per_atom": -7.0182,
  "ef_ev_per_atom": -1.158
}

***

(4)
{
  "formula": "CaBe2ReTc",
  "functional": "PBE",
  "state": "optimized geometry",
  "lattice": [[-1.1668, -1.4530, 4.0857], [1.1611, -4.4049, -1.2349], [4.1933, 0.6998, 1.4464]],
  "species": ["Be", "Be", "Tc", "Re", "Ca"],
  "frac_coords": [[0.5000, 0.0000, 0.0000], [0.0000, 0.0000, 0.5000], [0.0000, 0.5000, 0.0000], [0.0000, 0.0000, 0.0000], [0.5000, 0.5000, 0.5000]],
  "spacegroup": "No. 123",
  "total_magnetization_mub_per_atom": 0.2166,
  "n_ef_per_ev_cell": 3.80,
  "total_energy_ev_per_atom": -5.7288,
  "ef_ev_per_atom": 0.725
}

***

(5)
{
  "formula": "Cr2CoMoH",
  "functional": "PBE",
  "state": "optimized geometry",
  "lattice": [[3.6705, 0.0000, 0.0000], [0.0000, 3.6705, 0.0000], [0.0000, 0.0000, 3.8600]],
  "species": ["H", "Cr", "Cr", "Co", "Mo"],
  "frac_coords": [[0.0000, 0.0000, 0.0000], [0.5000, 0.0000, 0.0000], [0.0000, 0.5000, 0.0000], [0.5000, 0.5000, 0.5000], [0.0000, 0.0000, 0.5000]],
  "spacegroup": "No. 123",
  "total_magnetization_mub_per_atom": 0.0904,
  "n_ef_per_ev_cell": 5.83,
  "total_energy_ev_per_atom": -7.9609
}

***

(6)
{
  "formula": "CuRu2Br",
  "functional": "PBE",
  "state": "optimized geometry",
  "lattice": [[-1.0495, 0.7225, 4.3299], [-4.0025, -2.0845, -0.0796], [3.8563, -1.9022, -1.3716]],
  "species": ["Ru", "Ru", "Br", "Cu"],
  "frac_coords": [[0.0000, 0.0000, 0.0000], [0.2500, 0.7500, 0.5000], [0.5000, 0.5000, 0.0000], [0.7500, 0.2500, 0.5000]],
  "spacegroup": "No. 119",
  "raw_formation_energy_kj_per_mol_fu": 367,
  "total_magnetization_mub_per_atom": 0.0001,
  "n_ef_per_ev_cell": 4.76,
  "total_energy_ev_per_atom": -5.1290
}

***

Copy entry 3 word for word.
{
  "formula": "Ca2HfUP4",
  "functional": "PBE",
  "state": "optimized geometry",
  "lattice": [[3.9290, 0.0000, 0.0000], [0.0000, 6.7739, 0.1237], [0.0000, -2.3619, 6.5752]],
  "species": ["U", "P", "P", "P", "P", "Ca", "Ca", "Hf"],
  "frac_coords": [[0.5000, 0.5000, 0.0000], [0.5000, 0.2357, 0.2223], [0.0000, 0.7496, 0.2257], [0.5000, 0.7643, 0.7777], [0.0000, 0.2504, 0.7743], [0.5000, 0.0000, 0.5000], [0.0000, 0.5000, 0.5000], [0.0000, 0.0000, 0.0000]],
  "spacegroup": "No. 10",
  "total_magnetization_mub_per_atom": 0.2201,
  "n_ef_per_ev_cell": 6.75,
  "total_energy_ev_per_atom": -7.0182,
  "ef_ev_per_atom": -1.158
}